Density functional theory data (GGA-PBE) for a relaxed PrSm2Mg4 crystal.

Results
For the energy of formation from the pure elements, the calculation gives 0.12 eV per atom. For the density of states at the Fermi level, the calculation gives 6.34 states/eV/f.u. The energy above the lowest structure with this stoichiometry is 0.000 eV per formula unit. The symmetry is I4/mmm.

Cell lengths 5.435, 5.435, 8.402 Å; angles 108.87, 108.87, 90.00 degrees
Fractional positions:
Pr: 0.000 0.000 0.000
Sm: 0.747 0.747 0.494
Sm: 0.253 0.253 0.506
Mg: 0.381 0.881 0.762
Mg: 0.881 0.381 0.762
Mg: 0.619 0.119 0.238
Mg: 0.119 0.619 0.238


Density functional theory data (GGA-PBE) for a relaxed Pr4Sm6Mg crystal.

Results
For the energy of formation from the pure elements, the calculation gives 0.26 eV per atom. For the density of states at the Fermi level, the calculation gives 16.06 states/eV/f.u. The symmetry is I-42m.

Cell lengths 9.779, 9.779, 9.779 Å; angles 57.70, 140.10, 140.10 degrees
Fractional positions:
Pr: 0.000 0.639 0.004
Pr: 0.365 0.361 0.361
Pr: 0.000 0.004 0.639
Pr: 0.635 0.996 0.996
Sm: 0.000 0.787 0.453
Sm: 0.000 0.453 0.787
Sm: 0.334 0.547 0.547
Sm: 0.500 0.500 0.000
Sm: 0.666 0.213 0.213
Sm: 0.500 0.000 0.500
Mg: 0.000 0.000 0.000


Density functional theory data (GGA-PBE) for a relaxed Pr7Sm3Mg crystal.

Results
For the energy of formation from the pure elements, the calculation gives 0.17 eV per atom. For the density of states at the Fermi level, the calculation gives 16.20 states/eV/f.u. The symmetry is P3m1.

Cell lengths 8.811, 7.217, 7.217 Å; angles 120.00, 90.00, 90.00 degrees
Fractional positions:
Pr: 0.116 0.167 0.833
Pr: 0.116 0.167 0.334
Pr: 0.116 0.667 0.333
Pr: 0.451 0.832 0.168
Pr: 0.451 0.337 0.168
Pr: 0.451 0.832 0.663
Pr: 0.116 0.666 0.833
Sm: 0.783 0.501 0.499
Sm: 0.783 0.501 0.002
Sm: 0.783 0.998 0.499
Mg: 0.448 0.333 0.667


Density functional theory data (GGA-PBE) for a relaxed Pr5SmMg3 crystal.

Results
For the energy of formation from the pure elements, the calculation gives 0.34 eV per atom. For the density of states at the Fermi level, the calculation gives 12.96 states/eV/f.u. The symmetry is C2/m.

Cell lengths 7.999, 7.999, 11.087 Å; angles 83.78, 83.78, 62.79 degrees
Fractional positions:
Pr: 0.941 0.359 0.279
Pr: 0.330 0.670 0.000
Pr: 0.757 0.757 0.032
Pr: 0.511 0.511 0.364
Pr: 0.489 0.489 0.636
Pr: 0.243 0.243 0.968
Pr: 0.359 0.941 0.279
Pr: 0.670 0.330 0.000
Pr: 0.059 0.641 0.721
Pr: 0.641 0.059 0.721
Sm: 0.107 0.107 0.734
Sm: 0.893 0.893 0.266
Mg: 0.657 0.657 0.789
Mg: 0.723 0.723 0.509
Mg: 0.000 0.000 0.000
Mg: 0.000 0.000 0.500
Mg: 0.343 0.343 0.211
Mg: 0.277 0.277 0.491


Number 1: uncorrected energy -2.82 eV/atom, total moment 0.00 μB per formula unit. Number 2: uncorrected energy -4.20 eV/atom, total moment 0.00 μB per formula unit. Number 3: uncorrected energy -4.31 eV/atom, total moment 0.00 μB per formula unit. Number 4: uncorrected energy -3.37 eV/atom, total moment 0.00 μB per formula unit.